(1)
A plane-wave DFT calculation with PBE-GGA was carried out for a relaxed Zr2MoCl crystal.

```
data_Zr2MoCl
_cell_length_a 10.277
_cell_length_b 3.226
_cell_length_c 4.693
_cell_angle_alpha 90.00
_cell_angle_beta 96.50
_cell_angle_gamma 90.00
_symmetry_space_group_name_H-M 'C 1 m 1'
_symmetry_Int_Tables_number 8
loop_
_symmetry_equiv_pos_as_xyz
'x,y,z'
'x,-y,z'
'x+1/2,y+1/2,z'
'x+1/2,-y+1/2,z'
loop_
_atom_site_label
_atom_site_type_symbol
_atom_site_fract_x
_atom_site_fract_y
_atom_site_fract_z
Zr1 Zr 0.000 0.000 0.000
Zr2 Zr 0.213 0.500 0.568
Mo1 Mo 0.258 0.000 0.065
Cl1 Cl 0.451 0.000 0.530
```

D(E_F)	0.713	states/eV/atom
E_form (uncorrected)	-7.06	kJ per mole of atoms
distance to the lowest polymorph of the same formula	0.4266	eV per atom
theoretical density	6.74	g/cm³

=====

(2)
A plane-wave DFT calculation with PBE-GGA was carried out for a relaxed TaFeOs2 crystal.

```
data_TaFeOs2
_cell_length_a 9.092
_cell_length_b 2.810
_cell_length_c 4.680
_cell_angle_alpha 90.00
_cell_angle_beta 100.52
_cell_angle_gamma 90.00
_symmetry_space_group_name_H-M 'C 1 m 1'
_symmetry_Int_Tables_number 8
loop_
_symmetry_equiv_pos_as_xyz
'x,y,z'
'x,-y,z'
'x+1/2,y+1/2,z'
'x+1/2,-y+1/2,z'
loop_
_atom_site_label
_atom_site_type_symbol
_atom_site_fract_x
_atom_site_fract_y
_atom_site_fract_z
Ta1 Ta 0.000 0.000 0.000
Fe1 Fe 0.244 0.000 0.753
Os1 Os 0.256 0.500 0.290
Os2 Os 0.499 0.000 0.502
```

D(E_F)	0.867	states/eV/atom
DFT formation energy	0.021	eV per atom
theoretical density	17.44	g/cm³

=====

(3)
A plane-wave DFT calculation with PBE-GGA was carried out for a relaxed LaAuBr2 crystal.

```
data_LaAuBr2
_cell_length_a 3.877
_cell_length_b 5.340
_cell_length_c 13.290
_cell_angle_alpha 90.00
_cell_angle_beta 90.00
_cell_angle_gamma 90.00
_symmetry_space_group_name_H-M 'I m m 2'
_symmetry_Int_Tables_number 44
loop_
_symmetry_equiv_pos_as_xyz
'x,y,z'
'-x,-y,z'
'-x,y,z'
'x,-y,z'
'x+1/2,y+1/2,z+1/2'
'-x+1/2,-y+1/2,z+1/2'
'-x+1/2,y+1/2,z+1/2'
'x+1/2,-y+1/2,z+1/2'
loop_
_atom_site_label
_atom_site_type_symbol
_atom_site_fract_x
_atom_site_fract_y
_atom_site_fract_z
La1 La 0.000 0.000 0.000
Au1 Au 0.000 0.500 0.331
Br1 Br 0.000 0.000 0.494
Br2 Br 0.000 0.500 0.673
```

E_form (uncorrected)	-114.32	kJ per mole of atoms
distance to the lowest polymorph of the same formula	0.1176	eV per atom
theoretical density	5.98	g/cm³

=====

(4)
A plane-wave DFT calculation with PBE-GGA was carried out for a relaxed Pr2Ag3Sn4 crystal.

```
data_Pr2Ag3Sn4
_cell_length_a 6.393
_cell_length_b 16.424
_cell_length_c 8.433
_cell_angle_alpha 90.00
_cell_angle_beta 90.00
_cell_angle_gamma 90.00
_symmetry_space_group_name_H-M 'C m c e'
_symmetry_Int_Tables_number 64
_symmetry_space_group_name_Hall '-C 2ac 2'
loop_
_atom_site_label
_atom_site_type_symbol
_atom_site_fract_x
_atom_site_fract_y
_atom_site_fract_z
Pr1 Pr 0.000 0.111 0.091
Ag1 Ag 0.000 0.000 0.500
Ag2 Ag 0.250 0.225 0.750
Sn1 Sn 0.000 0.179 0.472
Sn2 Sn 0.250 0.054 0.750
```

D(E_F)	0.442	states/eV/atom
DFT formation energy	-0.411	eV per atom
theoretical density	8.10	g/cm³

=====

(5)
A plane-wave DFT calculation with PBE-GGA was carried out for a relaxed RbPr4Tl5 crystal.

```
data_RbPr4Tl5
_cell_length_a 3.982
_cell_length_b 3.982
_cell_length_c 20.630
_cell_angle_alpha 90.00
_cell_angle_beta 90.00
_cell_angle_gamma 90.00
_symmetry_space_group_name_H-M 'P 4/m m m'
_symmetry_Int_Tables_number 123
_symmetry_space_group_name_Hall '-P 4 2'
loop_
_atom_site_label
_atom_site_type_symbol
_atom_site_fract_x
_atom_site_fract_y
_atom_site_fract_z
Rb1 Rb 0.000 0.000 0.000
Pr1 Pr 0.000 0.000 0.216
Pr2 Pr 0.000 0.000 0.405
Tl1 Tl 0.500 0.500 0.131
Tl2 Tl 0.500 0.500 0.312
Tl3 Tl 0.500 0.500 0.500
```

D(E_F)	0.725	states/eV/atom
DFT formation energy	-0.314	eV per atom
theoretical density	8.48	g/cm³

=====

(6)
A plane-wave DFT calculation with PBE-GGA was carried out for a relaxed ZrBe crystal.

```
data_ZrBe
_cell_length_a 4.3361
_cell_length_b 4.3361
_cell_length_c 12.1467
_cell_angle_alpha 90.00
_cell_angle_beta 90.00
_cell_angle_gamma 120.00
_symmetry_space_group_name_H-M 'P -3 m 1'
_symmetry_Int_Tables_number 164
_symmetry_space_group_name_Hall '-P 3 2"'
loop_
_atom_site_label
_atom_site_type_symbol
_atom_site_fract_x
_atom_site_fract_y
_atom_site_fract_z
Zr1 Zr 0.0000 0.0000 0.2140
Zr2 Zr 0.3333 0.6667 0.0656
Zr3 Zr 0.3333 0.6667 0.4129
Be1 Be 0.0000 0.0000 0.4200
Be2 Be 0.3333 0.6667 0.6678
Be3 Be 0.3333 0.6667 0.8446
```

D(E_F)	0.604	states/eV/atom
DFT formation energy	0.098	eV per atom
theoretical density	5.05	g/cm³